VASP calculation (GGA-PBEsol) on a geometry-optimized Cr2TePt structure.

a = 3.016 Å, b = 3.016 Å, c = 6.422 Å
α = 90.00°, β = 90.00°, γ = 90.00°
Fractional coordinates of all 4 atoms:
Cr 0.000 0.000 0.245
Cr 0.000 0.000 0.755
Te 0.500 0.500 0.000
Pt 0.500 0.500 0.500

Calculated values
Density of states at the Fermi level   4.6 states/eV/f.u.
Calculated total energy   -7.357 eV per atom
Crystal system   tetragonal
ΔE_f (raw)   386.3 meV per atom

---

VASP calculation (GGA-PBEsol) on a geometry-optimized SbAsOs2 structure.

a = 2.878 Å, b = 5.036 Å, c = 9.919 Å
α = 90.00°, β = 90.00°, γ = 90.00°
Fractional coordinates of all 8 atoms:
Sb 0.000 0.000 0.000
Sb 0.500 0.500 0.000
As 0.000 0.500 0.336
As 0.500 0.000 0.336
Os 0.000 0.000 0.544
Os 0.000 0.500 0.764
Os 0.500 0.000 0.764
Os 0.500 0.500 0.544

Calculated values
Density of states at the Fermi level   3.6 states/eV/f.u.
Calculated total energy   -7.844 eV per atom
Crystal system   orthorhombic
ΔE_f (raw)   679.8 meV per atom

---

VASP calculation (GGA-PBEsol) on a geometry-optimized LiNb3Si structure.

a = 4.310 Å, b = 4.310 Å, c = 4.310 Å
α = 90.00°, β = 90.00°, γ = 90.00°
Fractional coordinates of all 5 atoms:
Li 0.000 0.000 0.000
Nb 0.000 0.000 0.500
Nb 0.000 0.500 0.000
Nb 0.500 0.000 0.000
Si 0.500 0.500 0.500

Calculated values
Density of states at the Fermi level   2.0 states/eV/f.u.
Calculated total energy   -7.178 eV per atom
Crystal system   cubic
ΔE_f (raw)   857.4 meV per atom

---

VASP calculation (GGA-PBEsol) on a geometry-optimized TlNiP2 structure.

a = 3.587 Å, b = 3.587 Å, c = 5.122 Å
α = 90.00°, β = 90.00°, γ = 90.00°
Fractional coordinates of all 4 atoms:
Tl 0.000 0.000 0.000
Ni 0.500 0.500 0.000
P 0.000 0.000 0.500
P 0.500 0.500 0.500

Calculated values
Density of states at the Fermi level   2.1 states/eV/f.u.
Calculated total energy   -4.724 eV per atom
Crystal system   tetragonal
Formation energy from the elements   0.369 eV/atom

---

VASP calculation (GGA-PBEsol) on a geometry-optimized LiCaSb2 structure.

a = 3.607 Å, b = 3.607 Å, c = 26.884 Å
α = 90.00°, β = 90.00°, γ = 120.00°
Fractional coordinates of all 12 atoms:
Li 0.000 0.000 0.000
Li 0.333 0.667 0.667
Li 0.667 0.333 0.333
Ca 0.000 0.000 0.500
Ca 0.333 0.667 0.167
Ca 0.667 0.333 0.833
Sb 0.000 0.000 0.256
Sb 0.000 0.000 0.744
Sb 0.333 0.667 0.411
Sb 0.333 0.667 0.923
Sb 0.667 0.333 0.077
Sb 0.667 0.333 0.589

Calculated values
Density of states at the Fermi level   1.5 states/eV/f.u.
Calculated total energy   -3.792 eV per atom
Crystal system   trigonal
ΔE_f (raw)   -488.1 meV per atom

---

VASP calculation (GGA-PBEsol) on a geometry-optimized Ga2TcCSe structure.

a = 4.916 Å, b = 4.916 Å, c = 3.824 Å
α = 90.00°, β = 90.00°, γ = 90.00°
Fractional coordinates of all 5 atoms:
Ga 0.000 0.500 0.000
Ga 0.500 0.000 0.000
Tc 0.000 0.000 0.000
C 0.000 0.000 0.500
Se 0.500 0.500 0.500

Calculated values
Density of states at the Fermi level   5.4 states/eV/f.u.
Calculated total energy   -5.555 eV per atom
Crystal system   tetragonal
ΔE_f (raw)   733.0 meV per atom

---

VASP calculation (GGA-PBEsol) on a geometry-optimized SbTe2PtRh structure.

a = 5.591 Å, b = 5.591 Å, c = 4.808 Å
α = 90.00°, β = 90.00°, γ = 90.00°
Fractional coordinates of all 5 atoms:
Sb 0.000 0.000 0.000
Te 0.000 0.500 0.000
Te 0.500 0.000 0.000
Pt 0.000 0.000 0.500
Rh 0.500 0.500 0.500

Calculated values
Density of states at the Fermi level   10.1 states/eV/f.u.
Calculated total energy   -3.940 eV per atom
Crystal system   tetragonal
ΔE_f (raw)   1401.9 meV per atom

---

VASP calculation (GGA-PBEsol) on a geometry-optimized FePt2Rh structure.

a = 2.697 Å, b = 3.764 Å, c = 5.446 Å
α = 90.00°, β = 90.00°, γ = 90.00°
Fractional coordinates of all 4 atoms:
Fe 0.000 0.000 0.000
Pt 0.000 0.000 0.513
Pt 0.500 0.500 0.244
Rh 0.500 0.500 0.762

Calculated values
Density of states at the Fermi level   5.3 states/eV/f.u.
Calculated total energy   -7.833 eV per atom
Crystal system   orthorhombic
Formation energy from the elements   -0.075 eV/atom

---

Number 1: calculated volume 58 Å³/f.u.. Number 2: calculated volume 72 Å³/f.u.. Number 3: calculated volume 80 Å³/f.u.. Number 4: calculated volume 66 Å³/f.u.. Number 5: calculated volume 101 Å³/f.u.. Number 6: calculated volume 92 Å³/f.u.. Number 7: calculated volume 150 Å³/f.u.. Number 8: calculated volume 55 Å³/f.u..